1.
This record from Alexandria via LeMat-Bulk describes crystalline LaCe6In5 at its relaxed geometry. The functional is PBE.

Cell and atoms, written as CIF:
```
data_LaCe6In5
_chemical_formula_sum 'La1 Ce6 In5'
_space_group_name_H-M_alt 'P 1'
_space_group_IT_number 1
_cell_length_a 7.4394
_cell_length_b 7.4394
_cell_length_c 9.9544
_cell_angle_alpha 90.00
_cell_angle_beta 90.00
_cell_angle_gamma 143.07
loop_
_space_group_symop_operation_xyz
'x,y,z'
loop_
_atom_site_label
_atom_site_fract_x
_atom_site_fract_y
_atom_site_fract_z
La1 0.0000 0.0000 0.0000
Ce1 0.1683 0.8317 0.2609
Ce2 0.1683 0.8317 0.7391
Ce3 0.5000 0.5000 0.2542
Ce4 0.5000 0.5000 0.7458
Ce5 0.8317 0.1683 0.2609
Ce6 0.8317 0.1683 0.7391
In1 0.0000 0.0000 0.5000
In2 0.3258 0.6742 0.0000
In3 0.3334 0.6666 0.5000
In4 0.6666 0.3334 0.5000
In5 0.6742 0.3258 0.0000
```

---

2.
This record from Alexandria via LeMat-Bulk describes crystalline LaCe5In2 at its relaxed geometry. The functional is PBE.

Cell and atoms, written as CIF:
```
data_LaCe5In2
_chemical_formula_sum 'La1 Ce5 In2'
_space_group_name_H-M_alt 'P 1'
_space_group_IT_number 1
_cell_length_a 6.8568
_cell_length_b 6.8568
_cell_length_c 6.8568
_cell_angle_alpha 120.57
_cell_angle_beta 120.57
_cell_angle_gamma 89.02
loop_
_space_group_symop_operation_xyz
'x,y,z'
loop_
_atom_site_label
_atom_site_fract_x
_atom_site_fract_y
_atom_site_fract_z
La1 0.0000 0.0000 0.0000
Ce1 0.4271 0.4271 0.0000
Ce2 0.4906 0.4906 0.5559
Ce3 0.4906 0.9346 0.0000
Ce4 0.9346 0.4906 0.0000
Ce5 0.9346 0.9346 0.4441
In1 0.4621 0.9621 0.5000
In2 0.9621 0.4621 0.5000
```

---

3.
This record from Alexandria via LeMat-Bulk describes crystalline La2CeIn at its relaxed geometry. The functional is PBE.

- energy above the lowest structure with this stoichiometry (meV/atom) = 152

Cell and atoms, written as CIF:
```
data_La2CeIn
_chemical_formula_sum 'La4 Ce2 In2'
_space_group_name_H-M_alt 'P 1'
_space_group_IT_number 1
_cell_length_a 4.9152
_cell_length_b 4.7008
_cell_length_c 11.8035
_cell_angle_alpha 90.00
_cell_angle_beta 102.08
_cell_angle_gamma 90.00
loop_
_space_group_symop_operation_xyz
'x,y,z'
loop_
_atom_site_label
_atom_site_fract_x
_atom_site_fract_y
_atom_site_fract_z
La1 0.0538 0.2500 0.1064
La2 0.4273 0.2500 0.8554
La3 0.5727 0.7500 0.1446
La4 0.9462 0.7500 0.8936
Ce1 0.3029 0.7500 0.6080
Ce2 0.6971 0.2500 0.3920
In1 0.1664 0.7500 0.3306
In2 0.8336 0.2500 0.6694
```

---

4.
This record from Alexandria via LeMat-Bulk describes crystalline LaCeIn at its relaxed geometry. The functional is PBE.

- energy above the lowest structure with this stoichiometry (meV/atom) = 100

Cell and atoms, written as CIF:
```
data_LaCeIn
_chemical_formula_sum 'La1 Ce1 In1'
_space_group_name_H-M_alt 'P 1'
_space_group_IT_number 1
_cell_length_a 5.4282
_cell_length_b 5.4282
_cell_length_c 3.2266
_cell_angle_alpha 90.00
_cell_angle_beta 90.00
_cell_angle_gamma 120.00
loop_
_space_group_symop_operation_xyz
'x,y,z'
loop_
_atom_site_label
_atom_site_fract_x
_atom_site_fract_y
_atom_site_fract_z
La1 0.0000 0.0000 0.0000
Ce1 0.6667 0.3333 0.0000
In1 0.3333 0.6667 0.5000
```

---

5.
This record from Alexandria via LeMat-Bulk describes crystalline La2CeIn at its relaxed geometry. The functional is PBE.

- energy above the lowest structure with this stoichiometry (meV/atom) = 49

Cell and atoms, written as CIF:
```
data_La2CeIn
_chemical_formula_sum 'La2 Ce1 In1'
_space_group_name_H-M_alt 'P 1'
_space_group_IT_number 1
_cell_length_a 3.6750
_cell_length_b 3.6750
_cell_length_c 9.3248
_cell_angle_alpha 90.00
_cell_angle_beta 90.00
_cell_angle_gamma 90.00
loop_
_space_group_symop_operation_xyz
'x,y,z'
loop_
_atom_site_label
_atom_site_fract_x
_atom_site_fract_y
_atom_site_fract_z
La1 0.0000 0.0000 0.2390
La2 0.0000 0.0000 0.7610
Ce1 0.5000 0.5000 0.5000
In1 0.5000 0.5000 0.0000
```

---

6.
This record from Alexandria via LeMat-Bulk describes crystalline La3Ce2In3 at its relaxed geometry. The functional is PBE.

Cell and atoms, written as CIF:
```
data_La3Ce2In3
_chemical_formula_sum 'La3 Ce2 In3'
_space_group_name_H-M_alt 'P 1'
_space_group_IT_number 1
_cell_length_a 4.6016
_cell_length_b 5.0579
_cell_length_c 10.9039
_cell_angle_alpha 76.68
_cell_angle_beta 77.90
_cell_angle_gamma 90.00
loop_
_space_group_symop_operation_xyz
'x,y,z'
loop_
_atom_site_label
_atom_site_fract_x
_atom_site_fract_y
_atom_site_fract_z
La1 0.0000 0.0000 0.0000
La2 0.1237 0.6255 0.7521
La3 0.8763 0.3745 0.2479
Ce1 0.2434 0.2447 0.5107
Ce2 0.7566 0.7553 0.4893
In1 0.3705 0.8684 0.2599
In2 0.5000 0.5000 0.0000
In3 0.6295 0.1316 0.7401
```

---

7.
This record from Alexandria via LeMat-Bulk describes crystalline LaCe2In6 at its relaxed geometry. The functional is PBE.

- energy above the lowest structure with this stoichiometry (meV/atom) = 0

Cell and atoms, written as CIF:
```
data_LaCe2In6
_chemical_formula_sum 'La1 Ce2 In6'
_space_group_name_H-M_alt 'P 1'
_space_group_IT_number 1
_cell_length_a 8.8071
_cell_length_b 8.8071
_cell_length_c 3.6525
_cell_angle_alpha 90.00
_cell_angle_beta 90.00
_cell_angle_gamma 120.00
loop_
_space_group_symop_operation_xyz
'x,y,z'
loop_
_atom_site_label
_atom_site_fract_x
_atom_site_fract_y
_atom_site_fract_z
La1 0.0000 0.0000 0.0000
Ce1 0.3333 0.6667 0.0000
Ce2 0.6667 0.3333 0.0000
In1 0.0000 0.3350 0.5000
In2 0.0000 0.6650 0.5000
In3 0.3350 0.0000 0.5000
In4 0.3350 0.3350 0.5000
In5 0.6650 0.0000 0.5000
In6 0.6650 0.6650 0.5000
```

---

8.
This record from Alexandria via LeMat-Bulk describes crystalline La2CeIn at its relaxed geometry. The functional is PBE.

- energy above the lowest structure with this stoichiometry (meV/atom) = 0

Cell and atoms, written as CIF:
```
data_La2CeIn
_chemical_formula_sum 'La2 Ce1 In1'
_space_group_name_H-M_alt 'P 1'
_space_group_IT_number 1
_cell_length_a 5.0340
_cell_length_b 5.0340
_cell_length_c 4.9054
_cell_angle_alpha 90.00
_cell_angle_beta 90.00
_cell_angle_gamma 90.00
loop_
_space_group_symop_operation_xyz
'x,y,z'
loop_
_atom_site_label
_atom_site_fract_x
_atom_site_fract_y
_atom_site_fract_z
La1 0.0000 0.5000 0.0000
La2 0.5000 0.0000 0.0000
Ce1 0.0000 0.0000 0.5000
In1 0.5000 0.5000 0.5000
```

---

no.,formation energy (meV per atom)
1,-275
2,-197
3,-80
4,-193
5,-183
6,-328
7,-409
8,-232